An optimized crystal structure of LiCaMgPd. Source: the Alexandria database, functional PBE.

POSCAR file:
```
LiCaMgPd
1.0
3.489 0.000 0.000
0.000 3.489 0.000
0.000 0.000 7.210
Li Ca Mg Pd
1 1 1 1
Direct
0.000 0.000 0.000 Li
0.500 0.500 0.341 Ca
0.500 0.500 0.777 Mg
0.000 0.000 0.597 Pd
```

Computed properties:
SG = P4mm (99)
D(E_F) = 3.01 states/eV/cell
total moment = 0.00 μB/cell
final energy = -3.031 eV per atom